Ce2GaOs2 after structural relaxation, computed with PBE-GGA.

Structure (extended XYZ):
```
10
Lattice="4.949 -2.709 0.000 4.949 2.709 0.000 -2.614 0.000 7.775" Properties=species:S:1:pos:R:3 pbc="T T T"
Ce 1.268 1.868 6.648
Ce 4.709 1.868 5.015
Ce 2.575 -1.868 2.760
Ce 6.016 -1.868 1.127
Ga 4.296 0.685 1.944
Ga 2.989 -0.685 5.832
Os 2.371 0.843 3.651
Os 6.221 0.843 0.236
Os 1.064 -0.843 7.539
Os 4.914 -0.843 4.124
```

Values from the calculation:
* D(E_F): 11.298 states/eV/cell
* total DFT energy (no corrections): -7.845 eV/atom



Ce6GaOs2 after structural relaxation, computed with PBE-GGA.

Structure (extended XYZ):
```
18
Lattice="6.335 0.000 0.000 0.000 7.482 0.000 -6.073 0.000 9.502" Properties=species:S:1:pos:R:3 pbc="T T T"
Ce -0.843 0.651 2.116
Ce -3.880 3.090 6.867
Ce 0.790 5.201 0.734
Ce -2.246 6.022 5.485
Ce 2.298 0.984 0.435
Ce -0.738 2.757 5.186
Ce 1.000 4.725 4.316
Ce -2.036 6.498 9.067
Ce 2.508 1.460 4.017
Ce -0.528 2.281 8.769
Ce 4.142 4.392 2.635
Ce 1.105 6.831 7.386
Ga 0.131 0.000 4.751
Ga 3.168 3.741 0.000
Os -2.487 0.771 6.888
Os 0.549 2.970 2.137
Os -0.287 4.512 7.365
Os 2.749 6.711 2.614
```

Values from the calculation:
* D(E_F): 42.233 states/eV/cell
* relative energy among the computed polymorphs: 175 meV per atom
* total DFT energy (no corrections): -6.873 eV/atom



CeGa4Os after structural relaxation, computed with PBE-GGA.

Structure (extended XYZ):
```
36
Lattice="9.530 0.000 0.000 0.000 8.865 0.000 0.000 0.000 7.682" Properties=species:S:1:pos:R:3 pbc="T T T"
Ce 2.383 0.000 1.357
Ce 2.383 2.254 5.095
Ce 2.383 6.611 5.095
Ce 7.148 0.000 6.325
Ce 7.148 2.254 2.588
Ce 7.148 6.611 2.588
Ga 0.000 0.000 3.841
Ga 0.612 4.432 6.436
Ga 0.757 2.314 2.479
Ga 0.757 6.551 2.479
Ga 0.858 0.000 6.479
Ga 2.383 3.038 0.358
Ga 2.383 4.432 2.832
Ga 2.383 5.827 0.358
Ga 3.908 0.000 6.479
Ga 4.009 2.314 2.479
Ga 4.009 6.551 2.479
Ga 4.153 4.432 6.436
Ga 4.765 0.000 3.841
Ga 5.378 4.432 1.246
Ga 5.522 2.314 5.204
Ga 5.522 6.551 5.204
Ga 5.623 0.000 1.203
Ga 7.148 3.038 7.325
Ga 7.148 4.432 4.851
Ga 7.148 5.827 7.325
Ga 8.673 0.000 1.203
Ga 8.774 2.314 5.204
Ga 8.774 6.551 5.204
Ga 8.918 4.432 1.246
Os 0.000 2.124 0.000
Os 0.000 4.432 3.841
Os 0.000 6.741 0.000
Os 4.765 2.124 0.000
Os 4.765 4.432 3.841
Os 4.765 6.741 0.000
```

Values from the calculation:
* D(E_F): 20.595 states/eV/cell
* relative energy among the computed polymorphs: 0 meV per atom
* total DFT energy (no corrections): -5.342 eV/atom



Q: Among the records above, which one has the lowest total DFT energy (no corrections)?
A: Ce2GaOs2